# LiFeSb2O

A geometry-optimized LiFeSb2O structure (GGA+U, Alexandria via LeMat-Bulk).

## Properties
VASP energy	-20.22	eV/cell
density	5.632	Mg/m³

abc: 5.3998 3.2591 5.3998
angles: 90.00 90.00 90.00
Sites, in units of the cell vectors:
Fe: 0.5000 0.5000 0.5000
O: 0.0000 0.5000 0.0000
Sb: 0.5000 0.0000 0.0000
Sb: 0.0000 0.0000 0.5000
Li: 0.0000 0.0000 0.0000